DFT (PBE with a Hubbard U) results for a relaxed Li3Fe5OF11 crystal.

Cell lengths 5.3101, 5.6941, 9.3931 Å; angles 85.24, 74.41, 118.41 degrees
With the nearest neighbours (Å) after each atom.
Sites, in units of the cell vectors:
Li 0.1603 0.3707 0.0581  5 F 2.00-2.16
Li 0.1528 0.8693 0.5722  4 F 2.00-2.14, 1 O 2.20
Li 0.8704 0.6561 0.9280  4 F 1.96-2.17
Fe 0.3603 0.8749 0.1710  6 F 2.02-2.16
Fe 0.3276 0.3661 0.6682  1 O 1.99, 4 F 2.07-2.18
Fe 0.6272 0.5980 0.3278  1 O 1.96, 2 F 2.11-2.13
Fe 0.8766 0.1328 0.4299  1 O 1.95, 3 F 2.15-2.17
Fe 0.6495 0.1347 0.8300  6 F 2.02-2.17
O 0.2523 0.2834 0.4768  3 Fe 1.95-1.99
F 0.0474 0.5382 0.7284  2 Li 2.03-2.17, 2 Fe 2.13-2.14
F 0.0385 0.0075 0.2185  3 Fe 2.14-2.26, 1 Li 2.16
F 0.4718 0.9012 0.3723  1 Li 2.09, 3 Fe 2.12-2.26
F 0.5541 0.6209 0.1180  2 Li 2.01-2.16, 2 Fe 2.11-2.16
F 0.2464 0.7750 0.9737  2 Li 1.96-2.15, 2 Fe 2.10-2.14
F 0.7467 0.2258 0.0352  2 Fe 2.02-2.17, 1 Li 2.03
F 0.7609 0.7174 0.5304  1 Li 2.00, 2 Fe 2.14-2.19
F 0.4286 0.3600 0.8661  1 Li 2.00, 2 Fe 2.07-2.10
F 0.5469 0.1140 0.6293  3 Fe 2.10-2.24, 1 Li 2.14
F 0.9643 0.4847 0.2720  3 Fe 2.10-2.16, 1 Li 2.30
F 0.9173 0.9694 0.7938  1 Li 1.97, 2 Fe 2.02-2.18

Computed properties:
- M_tot: 20.00 μB per formula unit
- Polymorph energy (0 for the lowest one): 6 meV per atom
- Energy: -5.43 eV per atom